--- i ---
HgPCl2: optimized geometry, GGA-PBEsol.

As for the symmetry: No. 123.

```
data_HgPCl2
_cell_length_a 3.044
_cell_length_b 3.044
_cell_length_c 8.902
_cell_angle_alpha 90.00
_cell_angle_beta 90.00
_cell_angle_gamma 90.00
_space_group_name_H-M_alt 'P 1'
_space_group_IT_number 1
loop_
_space_group_symop_operation_xyz
'x,y,z'
loop_
_atom_site_label
_atom_site_type_symbol
_atom_site_fract_x
_atom_site_fract_y
_atom_site_fract_z
Hg1 Hg 0.000 0.000 0.000
P1 P 0.000 0.000 0.500
Cl1 Cl 0.500 0.500 0.317
Cl2 Cl 0.500 0.500 0.683
```

--- ii ---
HgPCl2: optimized geometry, GGA-PBEsol.

As for the symmetry: No. 10.

```
data_HgPCl2
_cell_length_a 3.087
_cell_length_b 3.320
_cell_length_c 9.111
_cell_angle_alpha 90.00
_cell_angle_beta 90.28
_cell_angle_gamma 90.00
_space_group_name_H-M_alt 'P 1'
_space_group_IT_number 1
loop_
_space_group_symop_operation_xyz
'x,y,z'
loop_
_atom_site_label
_atom_site_type_symbol
_atom_site_fract_x
_atom_site_fract_y
_atom_site_fract_z
Hg1 Hg 0.000 0.000 0.000
P1 P 0.500 0.000 0.500
Cl1 Cl 0.496 0.500 0.313
Cl2 Cl 0.504 0.500 0.687
```

--- iii ---
HgPCl2: optimized geometry, GGA-PBEsol.

As for the symmetry: No. 8.

```
data_HgPCl2
_cell_length_a 4.342
_cell_length_b 4.342
_cell_length_c 7.448
_cell_angle_alpha 92.38
_cell_angle_beta 92.38
_cell_angle_gamma 50.63
_space_group_name_H-M_alt 'P 1'
_space_group_IT_number 1
loop_
_space_group_symop_operation_xyz
'x,y,z'
loop_
_atom_site_label
_atom_site_type_symbol
_atom_site_fract_x
_atom_site_fract_y
_atom_site_fract_z
Hg1 Hg 0.000 0.000 0.000
P1 P 0.303 0.303 0.880
Cl1 Cl 0.287 0.287 0.609
Cl2 Cl 0.576 0.576 0.246
```

Tell me which of them is the least stable. Sure, it is i.

--- i ---
HgPSCl2: optimized geometry, GGA-PBEsol.

As for the symmetry: No. 123.

```
data_HgPSCl2
_cell_length_a 4.971
_cell_length_b 4.971
_cell_length_c 5.182
_cell_angle_alpha 90.00
_cell_angle_beta 90.00
_cell_angle_gamma 90.00
_space_group_name_H-M_alt 'P 1'
_space_group_IT_number 1
loop_
_space_group_symop_operation_xyz
'x,y,z'
loop_
_atom_site_label
_atom_site_type_symbol
_atom_site_fract_x
_atom_site_fract_y
_atom_site_fract_z
Hg1 Hg 0.000 0.000 0.000
P1 P 0.000 0.000 0.500
S1 S 0.500 0.500 0.500
Cl1 Cl 0.000 0.500 0.000
Cl2 Cl 0.500 0.000 0.000
```

--- ii ---
HgPSCl2: optimized geometry, GGA-PBEsol.

As for the symmetry: No. 123.

```
data_HgPSCl2
_cell_length_a 4.657
_cell_length_b 4.657
_cell_length_c 4.823
_cell_angle_alpha 90.00
_cell_angle_beta 90.00
_cell_angle_gamma 90.00
_space_group_name_H-M_alt 'P 1'
_space_group_IT_number 1
loop_
_space_group_symop_operation_xyz
'x,y,z'
loop_
_atom_site_label
_atom_site_type_symbol
_atom_site_fract_x
_atom_site_fract_y
_atom_site_fract_z
Hg1 Hg 0.000 0.000 0.000
P1 P 0.500 0.500 0.000
S1 S 0.500 0.500 0.500
Cl1 Cl 0.000 0.500 0.500
Cl2 Cl 0.500 0.000 0.500
```

Tell me which of them is the least stable. Sure, it is i.

--- i ---
HgPbCl: optimized geometry, GGA-PBEsol.

As for the symmetry: No. 107.

```
data_HgPbCl
_cell_length_a 5.991
_cell_length_b 5.991
_cell_length_c 5.991
_cell_angle_alpha 143.64
_cell_angle_beta 143.64
_cell_angle_gamma 52.36
_space_group_name_H-M_alt 'P 1'
_space_group_IT_number 1
loop_
_space_group_symop_operation_xyz
'x,y,z'
loop_
_atom_site_label
_atom_site_type_symbol
_atom_site_fract_x
_atom_site_fract_y
_atom_site_fract_z
Hg1 Hg 0.000 0.000 0.000
Pb1 Pb 0.338 0.338 0.000
Cl1 Cl 0.679 0.679 0.000
```

--- ii ---
HgPbCl: optimized geometry, GGA-PBEsol.

As for the symmetry: No. 216.

```
data_HgPbCl
_cell_length_a 5.041
_cell_length_b 5.041
_cell_length_c 5.041
_cell_angle_alpha 60.00
_cell_angle_beta 60.00
_cell_angle_gamma 60.00
_space_group_name_H-M_alt 'P 1'
_space_group_IT_number 1
loop_
_space_group_symop_operation_xyz
'x,y,z'
loop_
_atom_site_label
_atom_site_type_symbol
_atom_site_fract_x
_atom_site_fract_y
_atom_site_fract_z
Hg1 Hg 0.000 0.000 0.000
Pb1 Pb 0.250 0.250 0.250
Cl1 Cl 0.500 0.500 0.500
```

Tell me which of them is the least stable. Sure, it is ii.

--- i ---
ReHgCl2: optimized geometry, GGA-PBEsol.

As for the symmetry: No. 65.

```
data_ReHgCl2
_cell_length_a 5.017
_cell_length_b 5.017
_cell_length_c 2.962
_cell_angle_alpha 90.00
_cell_angle_beta 90.00
_cell_angle_gamma 109.40
_space_group_name_H-M_alt 'P 1'
_space_group_IT_number 1
loop_
_space_group_symop_operation_xyz
'x,y,z'
loop_
_atom_site_label
_atom_site_type_symbol
_atom_site_fract_x
_atom_site_fract_y
_atom_site_fract_z
Re1 Re 0.000 0.000 0.000
Hg1 Hg 0.500 0.500 0.000
Cl1 Cl 0.000 0.500 0.500
Cl2 Cl 0.500 0.000 0.500
```

--- ii ---
ReHgCl2: optimized geometry, GGA-PBEsol.

As for the symmetry: No. 65.

```
data_ReHgCl2
_cell_length_a 3.114
_cell_length_b 3.114
_cell_length_c 10.004
_cell_angle_alpha 90.00
_cell_angle_beta 90.00
_cell_angle_gamma 124.70
_space_group_name_H-M_alt 'P 1'
_space_group_IT_number 1
loop_
_space_group_symop_operation_xyz
'x,y,z'
loop_
_atom_site_label
_atom_site_type_symbol
_atom_site_fract_x
_atom_site_fract_y
_atom_site_fract_z
Re1 Re 0.000 0.000 0.000
Hg1 Hg 0.000 0.000 0.500
Cl1 Cl 0.500 0.500 0.189
Cl2 Cl 0.500 0.500 0.811
```

Tell me which of them is the least stable. Sure, it is i.

--- i ---
Hg2SbCl: optimized geometry, GGA-PBEsol.

As for the symmetry: No. 8.

```
data_Hg2SbCl
_cell_length_a 7.565
_cell_length_b 7.565
_cell_length_c 4.174
_cell_angle_alpha 101.83
_cell_angle_beta 101.83
_cell_angle_gamma 31.06
_space_group_name_H-M_alt 'P 1'
_space_group_IT_number 1
loop_
_space_group_symop_operation_xyz
'x,y,z'
loop_
_atom_site_label
_atom_site_type_symbol
_atom_site_fract_x
_atom_site_fract_y
_atom_site_fract_z
Hg1 Hg 0.000 0.000 0.000
Hg2 Hg 0.683 0.683 0.781
Sb1 Sb 0.185 0.185 0.285
Cl1 Cl 0.388 0.388 0.747
```

--- ii ---
Hg2SbCl: optimized geometry, GGA-PBEsol.

As for the symmetry: No. 44.

```
data_Hg2SbCl
_cell_length_a 6.092
_cell_length_b 6.092
_cell_length_c 6.092
_cell_angle_alpha 148.95
_cell_angle_beta 125.12
_cell_angle_gamma 64.41
_space_group_name_H-M_alt 'P 1'
_space_group_IT_number 1
loop_
_space_group_symop_operation_xyz
'x,y,z'
loop_
_atom_site_label
_atom_site_type_symbol
_atom_site_fract_x
_atom_site_fract_y
_atom_site_fract_z
Hg1 Hg 0.000 0.000 0.000
Hg2 Hg 0.753 0.253 0.500
Sb1 Sb 0.245 0.745 0.500
Cl1 Cl 0.484 0.484 0.000
```

--- iii ---
Hg2SbCl: optimized geometry, GGA-PBEsol.

As for the symmetry: No. 160.

```
data_Hg2SbCl
_cell_length_a 9.320
_cell_length_b 9.320
_cell_length_c 9.320
_cell_angle_alpha 21.50
_cell_angle_beta 21.50
_cell_angle_gamma 21.50
_space_group_name_H-M_alt 'P 1'
_space_group_IT_number 1
loop_
_space_group_symop_operation_xyz
'x,y,z'
loop_
_atom_site_label
_atom_site_type_symbol
_atom_site_fract_x
_atom_site_fract_y
_atom_site_fract_z
Hg1 Hg 0.000 0.000 0.000
Hg2 Hg 0.254 0.254 0.254
Sb1 Sb 0.503 0.503 0.503
Cl1 Cl 0.737 0.737 0.737
```

Tell me which of them is the least stable. Sure, it is ii.

--- i ---
HgSb2Cl: optimized geometry, GGA-PBEsol.

As for the symmetry: No. 25.

```
data_HgSb2Cl
_cell_length_a 3.316
_cell_length_b 5.581
_cell_length_c 5.597
_cell_angle_alpha 90.00
_cell_angle_beta 90.00
_cell_angle_gamma 90.00
_space_group_name_H-M_alt 'P 1'
_space_group_IT_number 1
loop_
_space_group_symop_operation_xyz
'x,y,z'
loop_
_atom_site_label
_atom_site_type_symbol
_atom_site_fract_x
_atom_site_fract_y
_atom_site_fract_z
Hg1 Hg 0.000 0.000 0.000
Sb1 Sb 0.000 0.000 0.500
Sb2 Sb 0.500 0.500 0.495
Cl1 Cl 0.500 0.500 0.988
```

--- ii ---
HgSb2Cl: optimized geometry, GGA-PBEsol.

As for the symmetry: No. 122.

```
data_HgSb2Cl
_cell_length_a 11.276
_cell_length_b 11.276
_cell_length_c 11.276
_cell_angle_alpha 157.41
_cell_angle_beta 157.41
_cell_angle_gamma 32.16
_space_group_name_H-M_alt 'P 1'
_space_group_IT_number 1
loop_
_space_group_symop_operation_xyz
'x,y,z'
loop_
_atom_site_label
_atom_site_type_symbol
_atom_site_fract_x
_atom_site_fract_y
_atom_site_fract_z
Hg1 Hg 0.000 0.000 0.000
Hg2 Hg 0.750 0.250 0.500
Sb1 Sb 0.087 0.625 0.962
Sb2 Sb 0.375 0.337 0.462
Sb3 Sb 0.663 0.125 0.038
Sb4 Sb 0.875 0.913 0.538
Cl1 Cl 0.250 0.750 0.500
Cl2 Cl 0.500 0.500 0.000
```

Tell me which of them is the least stable. Sure, it is ii.